Here is a relaxed MnGaPd3 crystal from Alexandria via LeMat-Bulk. Energies are from PBE.

Values from the calculation:
- Energy above the most stable polymorph in this dataset: 1.300 eV/atom
- Uncorrected energy: -4.693 eV/atom
- Density of states at the Fermi level: 11.04 states/eV/f.u.

Cell: 4.571 4.571 4.571 Å, 90.00 90.00 90.00°
Sites, in units of the cell vectors:
Mn  0.000  0.000  0.000
Ga  0.500  0.500  0.500
Pd  0.000  0.500  0.500
Pd  0.500  0.000  0.500
Pd  0.500  0.500  0.000